The following is a PBE calculation of Rb4CePr3Se8 after structural relaxation, from Alexandria via LeMat-Bulk.

Cell: 9.4998 9.4998 9.4998 Å, 55.39 55.39 55.39°
Last column: nearest neighbours and their distance in Å.
Fractional positions:
Rb  0.0000  0.0000  0.0000  6 Se 3.50
Rb  0.0000  0.5000  0.5000  6 Se 3.49-3.50
Rb  0.5000  0.0000  0.5000  6 Se 3.49-3.50
Rb  0.5000  0.5000  0.0000  6 Se 3.49-3.50
Ce  0.5000  0.5000  0.5000  6 Se 3.01
Pr  0.0000  0.0000  0.5000  6 Se 3.02
Pr  0.0000  0.5000  0.0000  6 Se 3.02
Pr  0.5000  0.0000  0.0000  6 Se 3.02
Se  0.2342  0.2342  0.2342  3 Pr 3.02
Se  0.2348  0.7332  0.7332  1 Ce 3.01, 2 Pr 3.02
Se  0.2668  0.2668  0.7652  1 Ce 3.01, 2 Pr 3.02
Se  0.2668  0.7652  0.2668  1 Ce 3.01, 2 Pr 3.02
Se  0.7332  0.2348  0.7332  1 Ce 3.01, 2 Pr 3.02
Se  0.7332  0.7332  0.2348  1 Ce 3.01, 2 Pr 3.02
Se  0.7652  0.2668  0.2668  1 Ce 3.01, 2 Pr 3.02
Se  0.7658  0.7658  0.7658  3 Pr 3.02

## Properties
The calculation puts the magnetic moment at 1.01 μB/f.u. The volume is 33.83 Å³ per atom. Its space-group type is R-3m, No. 166. The value obtained for the uncorrected formation energy is -1716.2 meV/atom.